(1)
The following is a DFT calculation (PBE) of a relaxed structure of V3NiH2.

Properties
The calculation puts the total energy at -6.797 eV/atom.

Cell lengths 2.573, 6.408, 6.960 Å; angles 82.42, 79.35, 78.42 degrees
Sites, in units of the cell vectors:
V1 0.698 0.682 0.922
V2 0.302 0.318 0.078
V3 0.826 0.792 0.557
V4 0.174 0.208 0.443
V5 0.055 0.069 0.822
V6 0.945 0.931 0.178
H1 0.346 0.925 0.383
H2 0.654 0.075 0.617
H3 0.873 0.376 0.879
H4 0.127 0.624 0.121
Ni1 0.563 0.554 0.321
Ni2 0.437 0.446 0.679


(2)
The following is a DFT calculation (PBE) of a relaxed structure of LaPd2Au6.

Properties
Its formation energy from the elements is -0.176 eV/atom.

Cell lengths 5.586, 5.586, 7.623 Å; angles 90.00, 90.00, 120.00 degrees
Sites, in units of the cell vectors:
Pd1 0.333 0.667 0.500
Pd2 0.667 0.333 0.500
Au1 0.500 0.000 0.795
Au2 0.500 0.000 0.205
Au3 0.500 0.500 0.795
Au4 0.500 0.500 0.205
Au5 0.000 0.500 0.205
Au6 0.000 0.500 0.795
La1 0.000 0.000 0.000


(3)
The following is a DFT calculation (PBE) of a relaxed structure of Ba3PmEr3Se8.

Properties
As for the energy relative to the elements, uncorrected: -1.91 eV per atom.

Cell lengths 8.416, 8.416, 8.943 Å; angles 118.08, 90.00, 120.00 degrees
Sites, in units of the cell vectors:
Pm1 0.000 0.000 0.500
Se1 0.737 0.474 0.710
Se2 0.273 0.030 0.287
Se3 0.243 0.970 0.713
Se4 0.243 0.486 0.713
Se5 0.757 0.030 0.287
Se6 0.727 0.970 0.713
Se7 0.757 0.514 0.287
Se8 0.263 0.526 0.290
Er1 0.500 0.000 0.500
Er2 0.500 0.500 0.500
Er3 0.000 0.500 0.500
Ba1 0.500 0.500 0.000
Ba2 0.000 0.000 0.000
Ba3 0.000 0.500 0.000


(4)
The following is a DFT calculation (PBE) of a relaxed structure of Tl2AgSeF6.

Properties
As for the energy relative to the elements, uncorrected: -1.50 eV per atom.

Cell lengths 6.427, 6.376, 6.876 Å; angles 120.63, 118.58, 89.69 degrees
Sites, in units of the cell vectors:
Se1 0.000 0.000 0.000
F1 0.848 0.260 0.978
F2 0.152 0.740 0.022
F3 0.285 0.160 0.035
F4 0.715 0.841 0.964
F5 0.790 0.780 0.435
F6 0.209 0.221 0.565
Ag1 0.500 0.500 0.000
Tl1 0.226 0.779 0.498
Tl2 0.774 0.222 0.501